No. 1
# KSr2BF

KSr2BF after structural relaxation (GGA-PBEsol, the Alexandria database).

Properties
SG: P4/mmm, No. 123

Cell and atoms, written as extended XYZ:
```
5
Lattice="5.385 0.000 0.000 0.000 5.385 0.000 0.000 0.000 6.051" Properties=species:S:1:pos:R:3 pbc="T T T"
Sr 2.692 0.000 0.000
Sr 0.000 2.692 0.000
F 2.692 2.692 3.026
K 0.000 0.000 3.026
B 0.000 0.000 0.000
```

***

No. 2
# LaBF2

LaBF2 after structural relaxation (GGA-PBEsol, the Alexandria database).

Properties
SG: R-3m, No. 166

Cell and atoms, written as extended XYZ:
```
4
Lattice="4.045 0.000 0.000 2.022 3.503 0.000 2.022 1.168 3.823" Properties=species:S:1:pos:R:3 pbc="T T T"
F 6.067 3.503 2.487
F 2.022 1.168 1.335
B 4.045 2.335 1.911
La 0.000 0.000 0.000
```

***

No. 3
# LiBF2

LiBF2 after structural relaxation (GGA-PBEsol, the Alexandria database).

Properties
SG: R-3m, No. 166

Cell and atoms, written as extended XYZ:
```
4
Lattice="3.375 0.000 0.000 1.688 2.923 0.000 1.688 0.974 5.846" Properties=species:S:1:pos:R:3 pbc="T T T"
Li 0.000 0.000 0.000
F 1.688 0.974 4.152
F 5.063 2.923 1.694
B 3.375 1.949 2.923
```

***

No. 4
# Li2B6O9F2

Li2B6O9F2 after structural relaxation (GGA-PBEsol, the Alexandria database).

Properties
SG: Cc, No. 9

Cell and atoms, written as extended XYZ:
```
38
Lattice="-3.958 2.431 -1.279 -5.629 -1.104 6.245 3.220 8.388 4.533" Properties=species:S:1:pos:R:3 pbc="T T T"
B -4.133 7.302 6.728
B -6.564 6.425 6.461
B -2.503 2.694 2.723
B -0.321 6.329 4.808
B -5.230 4.529 3.420
B -5.443 0.596 6.261
B -1.742 7.443 6.518
B 1.297 5.577 3.222
B -5.396 2.406 4.706
B -0.760 4.264 3.578
B -2.844 8.583 8.441
B -3.933 2.453 0.566
O -3.558 3.768 0.039
O -6.086 1.668 3.779
O -4.437 5.619 3.285
O -5.118 1.904 5.951
O -0.570 7.137 5.892
O -3.414 2.218 1.871
O -3.120 4.744 8.889
O -4.101 8.050 7.874
O 0.508 4.511 2.881
O -1.248 5.440 4.329
O -1.804 3.866 2.611
O -5.203 6.726 6.175
O 0.921 6.440 4.236
O -5.901 -0.259 5.294
O -1.651 8.088 7.706
O -2.957 7.086 5.981
O -2.314 1.851 3.836
O -4.928 3.670 4.436
Li -2.810 0.012 3.236
Li -2.527 5.160 1.096
Li -3.239 5.383 4.976
Li -6.016 8.586 8.608
F -0.250 9.811 4.216
F -3.364 4.309 6.575
F -5.351 2.348 0.648
F -6.696 5.017 6.699
```

***

No. 5
# Li2B3O4F3

Li2B3O4F3 after structural relaxation (GGA-PBEsol, the Alexandria database).

Properties
SG: P2_12_12_1, No. 19

Cell and atoms, written as extended XYZ:
```
48
Lattice="-3.267 3.606 -0.054 -5.728 -5.128 4.182 4.278 4.039 10.811" Properties=species:S:1:pos:R:3 pbc="T T T"
B -3.706 2.718 7.990
B -0.251 0.053 10.322
B -4.901 -1.633 9.024
B -2.996 0.507 4.232
B -5.821 -1.765 6.733
B -4.459 -0.111 2.338
B -4.071 2.481 12.459
B 3.632 4.059 10.527
B 0.707 1.351 8.460
B -1.507 2.568 4.406
B -0.366 6.238 8.591
B -4.563 -1.367 4.554
O -5.743 -1.548 5.387
O -2.927 3.841 7.543
O -5.066 -1.072 3.219
O 2.813 2.992 9.972
O -1.185 2.663 2.994
O -3.325 0.608 2.899
O -0.374 2.837 5.281
O -1.198 5.310 8.034
O -4.863 -1.303 7.607
O -5.155 1.666 11.944
O -1.998 1.253 4.792
O -0.495 0.018 11.666
O 0.559 1.063 9.875
O -1.067 -0.573 13.836
O -3.653 -0.359 5.066
O -4.059 2.736 9.401
Li 1.529 2.118 11.175
Li -0.391 0.861 5.861
Li -5.298 1.351 10.040
Li -0.950 3.655 6.996
Li -1.151 1.308 13.001
Li -3.354 -0.216 6.973
Li -2.311 1.780 1.691
Li -6.942 -0.791 4.021
F -3.749 -2.431 9.338
F -3.305 3.157 0.887
F -4.722 -0.420 9.790
F 0.245 3.255 11.941
F -5.432 0.847 1.893
F -3.021 1.488 7.706
F -0.141 2.494 8.172
F -2.565 3.528 4.662
F -2.893 1.634 12.506
F -1.653 -0.960 7.260
F 2.768 5.129 10.942
F -3.835 -2.622 4.538
```

***

No. 6
# LiB6O9F

LiB6O9F after structural relaxation (GGA-PBEsol, the Alexandria database).

Properties
SG: Pna2_1, No. 33

Cell and atoms, written as extended XYZ:
```
68
Lattice="-4.960 -2.438 -5.271 3.871 -7.650 -0.104 -6.643 -3.468 7.854" Properties=species:S:1:pos:R:3 pbc="T T T"
O -6.155 -8.447 3.235
O -1.462 -8.060 3.893
O -3.990 -9.184 1.258
O -6.446 -3.330 0.524
O -4.215 -9.726 -1.882
O -6.495 -8.158 5.589
O -7.637 -6.733 4.047
O -7.282 -6.937 1.750
O -2.104 -3.520 2.473
O -2.015 -9.023 -2.219
O -7.448 -10.987 2.158
O -0.131 -7.691 -2.523
O -4.557 -11.934 5.824
O 0.347 -4.194 0.884
O -10.903 -5.567 3.006
O -2.865 -10.651 2.818
O -0.201 -6.489 0.434
O -3.999 -4.311 -4.099
O -7.267 -6.523 -0.541
O -8.923 -9.426 3.239
O -4.953 -9.798 4.793
O -2.080 -5.839 3.108
O 0.132 -9.576 3.067
O -3.708 -2.300 -1.710
O -2.066 -7.853 0.762
O -6.415 -3.696 -2.389
O -2.129 -10.284 5.829
O -5.488 -4.860 6.692
O -2.389 -5.534 0.205
O -4.276 -6.985 0.483
O -6.920 -8.757 0.225
O 1.986 -5.754 0.122
O -5.150 -4.586 2.104
O -4.599 -4.709 -0.162
O -1.471 -3.186 -1.465
O -5.467 -4.403 4.403
B -3.556 -5.692 -3.968
B -3.756 -5.757 0.181
B -2.910 -10.035 -2.170
B -2.446 -2.227 2.848
B -2.320 -2.014 -1.299
B -2.176 -4.531 3.427
B -5.879 -8.793 4.548
B -2.229 -6.848 4.145
B -1.545 -6.612 0.495
B -0.651 -8.921 -2.195
B -7.189 -12.323 1.881
B -10.651 -6.910 2.729
B -5.681 -3.970 5.666
B -5.792 -3.962 3.150
B -5.400 -10.993 5.349
B -7.430 -7.154 5.345
B -3.465 -10.526 1.476
B -7.046 -7.393 3.000
B -8.670 -10.651 2.735
B -0.211 -8.281 3.451
B -5.446 -4.189 0.812
B -7.133 -7.432 0.483
B -3.432 -8.036 0.835
B 0.690 -5.451 0.472
F -4.684 -11.318 1.476
F -2.324 -1.860 0.146
F -3.589 -7.361 4.149
F -3.418 -5.818 -2.527
Li -3.032 -9.300 4.232
Li -5.916 -9.722 1.607
Li -1.506 -3.672 0.506
Li -4.390 -4.094 -2.119
```

***

No. 7
# RbLi6B2O6F

RbLi6B2O6F after structural relaxation (GGA-PBEsol, the Alexandria database).

Properties
SG: Pnma, No. 62

Cell and atoms, written as extended XYZ:
```
64
Lattice="5.090 0.000 0.000 0.000 8.430 0.000 0.000 0.000 15.915" Properties=species:S:1:pos:R:3 pbc="T T T"
O 2.295 6.661 1.244
O 4.979 3.608 14.228
O 3.234 3.560 6.833
O 4.401 7.775 1.125
O 0.111 4.822 1.687
O 2.795 1.769 14.671
O 0.689 0.655 14.790
O 1.856 4.870 14.790
O 0.250 2.446 6.713
O 0.111 4.822 6.271
O 2.434 0.607 6.271
O 4.840 5.984 9.202
O 2.656 7.823 14.228
O 3.234 3.560 1.125
O 4.840 5.984 14.671
O 0.250 2.446 1.244
O 2.295 6.661 6.713
O 2.656 7.823 9.644
O 2.795 1.769 9.202
O 0.689 0.655 9.082
O 1.856 4.870 9.082
O 4.401 7.775 6.833
O 2.434 0.607 1.687
O 4.979 3.608 9.644
Li 0.699 0.614 7.030
Li 3.133 6.008 10.173
Li 3.586 1.678 0.583
Li 3.133 6.008 13.700
Li 3.244 3.601 14.988
Li 0.588 6.636 5.742
Li 1.503 6.752 8.540
Li 1.846 4.829 7.030
Li 0.699 0.614 0.928
Li 4.391 7.816 14.988
Li 4.391 7.816 8.885
Li 4.502 1.793 10.173
Li 3.586 1.678 7.375
Li 1.846 4.829 0.928
Li 4.048 5.893 0.583
Li 1.041 2.537 8.540
Li 0.588 6.636 2.215
Li 1.041 2.537 15.333
Li 3.244 3.601 8.885
Li 1.957 2.422 5.742
Li 1.957 2.422 2.215
Li 4.502 1.793 13.700
Li 1.503 6.752 15.333
Li 4.048 5.893 7.375
B 3.027 7.839 6.571
B 4.608 3.624 6.571
B 0.482 4.806 9.344
B 3.027 7.839 1.387
B 2.063 0.591 14.528
B 2.063 0.591 9.344
B 0.482 4.806 14.528
B 4.608 3.624 1.387
F 2.140 2.705 3.979
F 0.405 6.920 3.979
F 2.950 5.725 11.936
F 4.685 1.510 11.936
Rb 3.150 5.269 3.979
Rb 1.940 3.161 11.936
Rb 0.605 7.376 11.936
Rb 4.485 1.054 3.979
```

***

No. 8
# MgBF2

MgBF2 after structural relaxation (GGA-PBEsol, the Alexandria database).

Properties
SG: I-42d, No. 122

Cell and atoms, written as extended XYZ:
```
8
Lattice="-1.685 5.312 0.010 -3.059 -3.899 3.205 0.532 0.158 5.545" Properties=species:S:1:pos:R:3 pbc="T T T"
F -1.826 3.795 5.108
F -3.471 2.392 7.265
F -0.877 1.171 6.211
F -3.400 1.252 4.491
Mg -2.394 2.152 5.769
Mg 0.000 0.000 0.000
B -1.818 -0.582 2.991
B -0.576 2.735 2.777
```

***

No. 9
# MgBOF2

MgBOF2 after structural relaxation (GGA-PBEsol, the Alexandria database).

Properties
SG: P4/mmm, No. 123

Cell and atoms, written as extended XYZ:
```
5
Lattice="-0.897 2.159 1.315 -2.805 -2.454 2.117 2.906 -0.667 3.079" Properties=species:S:1:pos:R:3 pbc="T T T"
F 1.453 -0.333 1.539
F -1.403 -1.227 1.058
O -0.449 1.080 0.657
B 0.000 0.000 0.000
Mg -0.398 -0.481 3.255
```

***

No. 10
# Mg2BO3F

Mg2BO3F after structural relaxation (GGA-PBEsol, the Alexandria database).

Properties
SG: Pnma, No. 62

Cell and atoms, written as extended XYZ:
```
28
Lattice="-2.358 1.519 -1.322 -5.961 -6.495 3.166 -1.223 4.975 7.902" Properties=species:S:1:pos:R:3 pbc="T T T"
O -1.551 3.389 4.845
O -4.998 -4.403 2.036
O -4.544 4.402 7.711
O -2.621 1.298 4.350
O -4.749 -1.205 1.631
O -3.048 2.442 6.427
O -7.991 -3.390 4.902
O -4.793 1.204 8.116
O -6.921 -1.299 5.397
O -3.517 0.821 1.763
O -6.025 -0.822 7.985
O -6.494 -2.443 3.320
Mg -1.582 1.310 2.510
Mg -7.016 -4.130 2.311
Mg -5.148 2.623 6.744
Mg -7.960 -1.311 7.237
Mg -4.473 0.899 3.557
Mg -5.069 -0.899 6.190
Mg -4.394 -2.624 3.004
Mg -2.526 4.130 7.436
B -2.397 2.383 5.197
B -5.671 0.332 8.680
B -7.145 -2.384 4.550
B -3.871 -0.333 1.067
F -4.096 -0.981 4.361
F -8.769 -0.875 9.182
F -5.446 0.980 5.387
F -0.773 0.874 0.565
```

***

No. 11
# Mg2BPtF

Mg2BPtF after structural relaxation (GGA-PBEsol, the Alexandria database).

Properties
SG: P4/mmm, No. 123

Cell and atoms, written as extended XYZ:
```
5
Lattice="3.845 0.000 0.000 0.000 4.606 0.000 0.000 0.000 4.606" Properties=species:S:1:pos:R:3 pbc="T T T"
Pt 1.923 0.000 0.000
Mg 0.000 2.303 0.000
Mg 0.000 0.000 2.303
B 0.000 0.000 0.000
F 1.923 2.303 2.303
```

***

No. 12
# MnBOF2

MnBOF2 after structural relaxation (GGA-PBEsol, the Alexandria database).

Properties
SG: P4/mmm, No. 123

Cell and atoms, written as extended XYZ:
```
5
Lattice="-0.426 1.566 -2.093 -3.596 1.402 1.781 2.161 3.128 1.901" Properties=species:S:1:pos:R:3 pbc="T T T"
Mn -0.931 3.048 0.795
B 0.000 0.000 0.000
F -1.798 0.701 0.891
F 1.080 1.564 0.950
O -0.213 0.783 -1.046
```

***

What did we get for uncorrected formation energy? Answer: -146; -1553; -710; -2539; -2689; -2476; -2318; -1038; -1666; -2878; -635; -1254 meV/atom, in the order shown.